Entry 1:
Here is a relaxed structure of TaAlH from the Alexandria database. Energies are from PBE.

Calculated values
SG	P3m1, No. 156
spin magnetization	0.0	μB/f.u.
offset from the most stable computed form	0	meV/atom
calculated volume	36.6	Å³/cell
DOS at the Fermi energy	0.25	states/eV/atom

a b c (Å): 4.4250 3.0886 3.0886
angles (deg): 120.00 90.00 90.00
Positions (direct):
H  0.2791  0.6667  0.3333
Al  0.6184  0.3333  0.6667
Ta  0.1025  0.0000  0.0000


Entry 2:
Here is a relaxed structure of ZnCrHg2 from the Alexandria database. Energies are from PBE.

Calculated values
SG	R-3m, No. 166
formation energy from the elements	0.37	eV/atom
spin magnetization	4.2	μB/f.u.
offset from the most stable computed form	78	meV/atom
calculated volume	81.4	Å³/cell
DOS at the Fermi energy	0.55	states/eV/atom

a b c (Å): 8.7129 8.7129 8.7129
angles (deg): 22.00 22.00 22.00
Positions (direct):
Cr  0.7500  0.7500  0.7500
Hg  0.9990  0.9990  0.9990
Hg  0.5010  0.5010  0.5010
Zn  0.2500  0.2500  0.2500


Entry 3:
Here is a relaxed structure of Ho2AsI2 from the Alexandria database. Energies are from PBE.

Calculated values
energy relative to the elements, uncorrected	-1.457	eV per atom
SG	R-3m, No. 166
spin magnetization	0.0	μB/f.u.
calculated volume	170.8	Å³/cell
DOS at the Fermi energy	0.30	states/eV/atom

a b c (Å): 4.1640 4.1640 11.6272
angles (deg): 79.68 79.68 60.00
Positions (direct):
Ho  0.6220  0.6220  0.1339
Ho  0.3780  0.3780  0.8661
As  0.0000  0.0000  0.0000
I  0.2298  0.2298  0.3106
I  0.7702  0.7702  0.6894


Q: Which of these has the highest calculated volume?
A: Ho2AsI2